Density functional theory data (PBE-GGA) for a relaxed structure of Y2BeZnH.

The structure in POSCAR format:
```
Y2BeZnH
1.0
4.9391 0.0000 0.0000
0.0000 4.9391 0.0000
0.0000 0.0000 3.5002
Y Be Zn H
2 1 1 1
Direct
0.0000 0.5000 0.0000 Y
0.5000 0.0000 0.0000 Y
0.0000 0.0000 0.5000 Be
0.5000 0.5000 0.5000 Zn
0.0000 0.0000 0.0000 H
```

* crystal system: tetragonal
* calculated total energy: -0.3291 Ry per atom
* DOS(E_F): 3.3 states/eV/f.u.